# Sm5B4Rh15

A geometry-optimized Sm5B4Rh15 structure (GGA-PBEsol, Alexandria via LeMat-Bulk).

## Properties
- Mass density: 10.95 g cm⁻³
- DFT total energy: -7.9939 eV per atom
- SG: P4/mmm

Lattice parameters (Å, degrees): 4.1684 4.1684 20.4133 90.00 90.00 90.00
Element x y z (fractional)
Sm 0.0000 0.0000 0.0000
Sm 0.0000 0.0000 0.2023
Sm 0.0000 0.0000 0.4037
Sm 0.0000 0.0000 0.5963
Sm 0.0000 0.0000 0.7977
B 0.5000 0.5000 0.1032
B 0.5000 0.5000 0.3125
B 0.5000 0.5000 0.6875
B 0.5000 0.5000 0.8968
Rh 0.0000 0.5000 0.1015
Rh 0.0000 0.5000 0.3029
Rh 0.0000 0.5000 0.5000
Rh 0.0000 0.5000 0.6971
Rh 0.0000 0.5000 0.8985
Rh 0.5000 0.0000 0.1015
Rh 0.5000 0.0000 0.3029
Rh 0.5000 0.0000 0.5000
Rh 0.5000 0.0000 0.6971
Rh 0.5000 0.0000 0.8985
Rh 0.5000 0.5000 0.0000
Rh 0.5000 0.5000 0.2053
Rh 0.5000 0.5000 0.4115
Rh 0.5000 0.5000 0.5885
Rh 0.5000 0.5000 0.7947